# 1
! Tl2InAu PBE optimized geometry; values from VASP
! Formation enthalpy at 0 K ... -47 meV/atom
! Raw total energy ... -10.9 eV/cell
! Energy relative to the lowest polymorph listed for this composition ... 0 meV per atom
! Space-group type ... Pmm2 (25)
&SYSTEM
  ibrav = 0, nat = 4, ntyp = 3
/
ATOMIC_SPECIES
Tl 204.38 Tl.upf
Au 196.97 Au.upf
In 114.82 In.upf
ATOMIC_POSITIONS crystal
Tl 0.000 0.000 0.978
Tl 0.500 0.500 0.295
Au 0.000 0.000 0.524
In 0.500 0.500 0.704
CELL_PARAMETERS angstrom
3.384 0.000 0.000
0.000 3.537 0.000
0.000 0.000 8.987

# 2
! CoSbHRu2 PBE optimized geometry; values from VASP
! Raw total energy ... -32.8 eV/cell
! Space-group type ... P4/mmm (123)
&SYSTEM
  ibrav = 0, nat = 5, ntyp = 4
/
ATOMIC_SPECIES
Sb 121.76 Sb.upf
Co 58.93 Co.upf
H 1.01 H.upf
Ru 101.07 Ru.upf
ATOMIC_POSITIONS crystal
Sb 0.500 0.500 0.500
Co 0.000 0.000 0.500
H 0.000 0.000 0.000
Ru 0.000 0.500 0.000
Ru 0.500 0.000 0.000
CELL_PARAMETERS angstrom
-2.065 3.319 0.846
-1.318 0.141 -3.773
-2.969 -2.092 0.959

# 3
! HoErSn2 PBE optimized geometry; values from VASP
! Formation enthalpy at 0 K ... -698 meV/atom
! Raw total energy ... -19.9 eV/cell
! Space-group type ... Amm2 (38)
&SYSTEM
  ibrav = 0, nat = 4, ntyp = 3
/
ATOMIC_SPECIES
Ho 164.93 Ho.upf
Er 167.26 Er.upf
Sn 118.71 Sn.upf
ATOMIC_POSITIONS crystal
Ho 0.450 0.500 0.438
Er 0.716 0.000 0.972
Sn 0.177 0.500 0.894
Sn 0.988 0.000 0.515
CELL_PARAMETERS angstrom
4.454 0.000 -0.029
0.000 4.289 0.000
-2.189 0.000 5.689

# 4
! CaNd2ErSb4 PBE optimized geometry; values from VASP
! Raw total energy ... -40.9 eV/cell
! Formation energy (no corrections) ... -8.3 eV per formula unit
! Space-group type ... P2/m (10)
&SYSTEM
  ibrav = 0, nat = 8, ntyp = 4
/
ATOMIC_SPECIES
Ca 40.08 Ca.upf
Nd 144.24 Nd.upf
Er 167.26 Er.upf
Sb 121.76 Sb.upf
ATOMIC_POSITIONS crystal
Ca 0.500 0.500 0.000
Nd 0.000 0.000 0.000
Nd 0.500 0.000 0.500
Er 0.000 0.500 0.500
Sb 0.000 0.746 0.746
Sb 0.000 0.254 0.254
Sb 0.500 0.742 0.257
Sb 0.500 0.258 0.743
CELL_PARAMETERS angstrom
4.475 0.000 0.000
0.000 7.722 -0.139
0.000 2.730 7.328

# 5
! KTaIn2 PBE optimized geometry; values from VASP
! Formation enthalpy at 0 K ... 856 meV/atom
! Raw total energy ... -15.0 eV/cell
! Energy relative to the lowest polymorph listed for this composition ... 619 meV per atom
! Space-group type ... I-4m2 (119)
&SYSTEM
  ibrav = 0, nat = 4, ntyp = 3
/
ATOMIC_SPECIES
In 114.82 In.upf
K 39.10 K.upf
Ta 180.95 Ta.upf
ATOMIC_POSITIONS crystal
In 0.000 0.000 0.000
In 0.250 0.750 0.500
K 0.500 0.500 0.000
Ta 0.750 0.250 0.500
CELL_PARAMETERS angstrom
6.128 -0.013 0.000
3.048 5.317 0.000
-4.588 -2.652 3.078

# 6
! NaS2Br PBE optimized geometry; values from VASP
! Raw total energy ... -20.9 eV/cell
! Formation energy (no corrections) ... 0.8 eV per formula unit
! Energy relative to the lowest polymorph listed for this composition ... 97 meV per atom
! Space-group type ... I-42d (122)
&SYSTEM
  ibrav = 0, nat = 8, ntyp = 3
/
ATOMIC_SPECIES
Na 22.99 Na.upf
S 32.06 S.upf
Br 79.90 Br.upf
ATOMIC_POSITIONS crystal
Na 0.500 0.500 0.000
Na 0.250 0.750 0.500
S 0.696 0.125 0.250
S 0.054 0.625 0.250
S 0.375 0.304 0.750
S 0.875 0.946 0.750
Br 0.000 0.000 0.000
Br 0.750 0.250 0.500
CELL_PARAMETERS angstrom
-3.576 2.762 -3.586
-3.625 -4.485 0.161
-6.988 2.078 3.929

Which formula does entry 3 have? HoErSn2

Number 2 is which compound? CoSbHRu2

Look up the raw total energy of the sixth one. -20.9 eV/cell